The following is a DFT calculation (PBE with a Hubbard U) of a geometry-optimized Fe2Ag2SbO6 structure.

a = 5.288 Å, b = 5.288 Å, c = 6.282 Å
α = 100.00°, β = 100.00°, γ = 119.22°
Fractional coordinates of all 11 atoms:
Fe1 0.165 0.835 0.000
Fe2 0.835 0.165 0.000
Ag1 0.184 0.816 0.500
Ag2 0.816 0.184 0.500
Sb1 0.500 0.500 0.000
O1 0.103 0.103 0.815
O2 0.235 0.566 0.172
O3 0.434 0.765 0.828
O4 0.566 0.235 0.172
O5 0.765 0.434 0.828
O6 0.897 0.897 0.185

**Calculated total energy**: -59.09 eV/f.u.
**Magnetic moment**: 2.98 μB/f.u.